[1]
# PBE-GGA AlIn2Se4, optimized geometry
data_AlIn2Se4
_cell_length_a 6.459
_cell_length_b 6.459
_cell_length_c 10.302
_cell_angle_alpha 90.00
_cell_angle_beta 90.00
_cell_angle_gamma 90.00
_symmetry_space_group_name_H-M 'I -4 2 m'
_symmetry_Int_Tables_number 121
_symmetry_space_group_name_Hall 'I -4 2'
loop_
_atom_site_label
_atom_site_fract_x
_atom_site_fract_y
_atom_site_fract_z
Al1 0.000 0.000 0.000
In1 0.000 0.500 0.250
Se1 0.237 0.237 0.106
# Total magnetic moment   0.00 μB/f.u.
# Energy relative to the elements, uncorrected   -0.5885 eV/atom
# Final energy   -3.897 eV per atom
# ΔE to the lowest computed polymorph   0.0 kJ per mole of atoms

=====

[2]
# PBE-GGA HgI2BrN, optimized geometry
data_HgI2BrN
_cell_length_a 7.722
_cell_length_b 7.722
_cell_length_c 3.574
_cell_angle_alpha 90.00
_cell_angle_beta 90.00
_cell_angle_gamma 90.00
_symmetry_space_group_name_H-M 'P 4/m m m'
_symmetry_Int_Tables_number 123
_symmetry_space_group_name_Hall '-P 4 2'
loop_
_atom_site_label
_atom_site_fract_x
_atom_site_fract_y
_atom_site_fract_z
Hg1 0.000 0.000 0.000
I1 0.000 0.500 0.500
Br1 0.500 0.500 0.500
N1 0.500 0.500 0.000
# Total magnetic moment   0.00 μB/f.u.
# Energy relative to the elements, uncorrected   1.0043 eV/atom
# Final energy   -1.676 eV per atom
# ΔE to the lowest computed polymorph   0.0 kJ per mole of atoms

=====

[3]
# PBE-GGA BaCr2Br, optimized geometry
data_BaCr2Br
_cell_length_a 4.824
_cell_length_b 4.824
_cell_length_c 19.607
_cell_angle_alpha 90.00
_cell_angle_beta 90.00
_cell_angle_gamma 90.00
_symmetry_space_group_name_H-M 'I 41/a m d'
_symmetry_Int_Tables_number 141
loop_
_symmetry_equiv_pos_as_xyz
'x,y,z'
'-x,-y,-z'
'-y+1/4,x+3/4,z+1/4'
'y+1/4,-x+3/4,-z+1/4'
'-x+1/2,-y,z+1/2'
'x+1/2,y,-z+1/2'
'y+1/4,-x+1/4,z+3/4'
'-y+1/4,x+1/4,-z+3/4'
'x,-y,-z'
'-x,y,z'
'-y+1/4,-x+1/4,-z+3/4'
'y+1/4,x+1/4,z+3/4'
'-x+1/2,y,-z+1/2'
'x+1/2,-y,z+1/2'
'y+1/4,x+3/4,-z+1/4'
'-y+1/4,-x+3/4,z+1/4'
'x+1/2,y+1/2,z+1/2'
'-x+1/2,-y+1/2,-z+1/2'
'-y+3/4,x+1/4,z+3/4'
'y+3/4,-x+1/4,-z+3/4'
'-x,-y+1/2,z'
'x,y+1/2,-z'
'y+3/4,-x+3/4,z+1/4'
'-y+3/4,x+3/4,-z+1/4'
'x+1/2,-y+1/2,-z+1/2'
'-x+1/2,y+1/2,z+1/2'
'-y+3/4,-x+3/4,-z+1/4'
'y+3/4,x+3/4,z+1/4'
'-x,y+1/2,-z'
'x,-y+1/2,z'
'y+3/4,x+1/4,-z+3/4'
'-y+3/4,-x+1/4,z+3/4'
loop_
_atom_site_label
_atom_site_fract_x
_atom_site_fract_y
_atom_site_fract_z
Ba1 0.000 0.250 0.375
Cr1 0.000 0.000 0.000
Br1 0.000 0.250 0.875
# Total magnetic moment   6.41 μB/f.u.
# Energy relative to the elements, uncorrected   0.6736 eV/atom
# Final energy   -5.037 eV per atom
# ΔE to the lowest computed polymorph   54.8 kJ per mole of atoms